Entry 1:
Here is a geometry-optimized TlSnIrF2 structure from Alexandria via LeMat-Bulk. Energies are from PBE.

Lattice parameters (Å, degrees): 4.238 4.238 6.443 90.00 90.00 90.00
Space group P4/mmm (No. 123)
Unique sites:
1 Tl 0.000 0.000 0.000 x1
2 Sn 0.000 0.000 0.500 x1
3 Ir 0.500 0.500 0.000 x1
4 F 0.000 0.500 0.500 x2

The total energy comes out at -20.9 eV for the cell shown. The uncorrected formation energy is -1.9 eV/f.u. The value obtained for the density of states at the Fermi level is 0.545 states/eV per atom. As for the crystal system: tetragonal.

Entry 2:
Here is a geometry-optimized SrIrF structure from Alexandria via LeMat-Bulk. Energies are from PBE.

Lattice parameters (Å, degrees): 6.752 6.752 6.752 90.00 90.00 90.00
Space group F-43m (No. 216)
Unique sites:
1 Sr 0.000 0.000 0.000 x4
2 Ir 0.250 0.250 0.250 x4
3 F 0.000 0.000 0.500 x4

As for the excess energy over the best structure of this formula in the dataset: 2.101 eV/atom. The total energy comes out at -48.2 eV for the cell shown. The uncorrected formation energy is 0.4 eV/f.u. The value obtained for the density of states at the Fermi level is 2.363 states/eV per atom. As for the crystal system: cubic.

Entry 3:
Here is a geometry-optimized SrIrF structure from Alexandria via LeMat-Bulk. Energies are from PBE.

Lattice parameters (Å, degrees): 6.417 6.417 6.417 90.00 90.00 90.00
Space group F-43m (No. 216)
Unique sites:
1 Sr 0.000 0.000 0.000 x4
2 Ir 0.000 0.000 0.500 x4
3 F 0.250 0.250 0.750 x4

As for the excess energy over the best structure of this formula in the dataset: 1.605 eV/atom. The total energy comes out at -54.1 eV for the cell shown. The uncorrected formation energy is -1.1 eV/f.u. The value obtained for the density of states at the Fermi level is 2.721 states/eV per atom. As for the crystal system: cubic.

Entry 4:
Here is a geometry-optimized Sr12Ir3F5 structure from Alexandria via LeMat-Bulk. Energies are from PBE.

Lattice parameters (Å, degrees): 16.688 16.688 16.688 90.00 90.00 90.00
Space group Ia-3d (No. 230)
Unique sites:
1 Sr 0.027 0.060 0.656 x96
2 Ir 0.000 0.250 0.125 x24
3 F 0.000 0.000 0.000 x16
4 F 0.000 0.250 0.375 x24

The total energy comes out at -679.7 eV for the cell shown. The uncorrected formation energy is -28.8 eV/f.u. The value obtained for the density of states at the Fermi level is 0.614 states/eV per atom. As for the crystal system: cubic.

Entry 5:
Here is a geometry-optimized SrIrF structure from Alexandria via LeMat-Bulk. Energies are from PBE.

Lattice parameters (Å, degrees): 4.275 13.582 4.376 90.00 90.00 90.00
Space group Cmcm (No. 63)
Unique sites:
1 Sr 0.000 0.150 0.250 x4
2 Ir 0.000 0.469 0.250 x4
3 F 0.000 0.250 0.750 x4

As for the excess energy over the best structure of this formula in the dataset: 0.244 eV/atom. The total energy comes out at -70.5 eV for the cell shown. The uncorrected formation energy is -5.2 eV/f.u. The value obtained for the density of states at the Fermi level is 0.545 states/eV per atom. As for the crystal system: orthorhombic.

Entry 6:
Here is a geometry-optimized SrIrF structure from Alexandria via LeMat-Bulk. Energies are from PBE.

Lattice parameters (Å, degrees): 3.618 3.618 8.684 90.00 90.00 90.00
Space group P4/nmm (No. 129, origin choice 2)
Unique sites:
1 Sr 0.250 0.250 0.197 x2
2 Ir 0.250 0.750 0.500 x2
3 F 0.250 0.250 0.898 x2

As for the excess energy over the best structure of this formula in the dataset: 0.132 eV/atom. The total energy comes out at -35.9 eV for the cell shown. The uncorrected formation energy is -5.5 eV/f.u. The value obtained for the density of states at the Fermi level is 0.666 states/eV per atom. As for the crystal system: tetragonal.